# GGA-PBE SrZn6Ag4, relaxed
# E_form: 0.09 eV/f.u.
data_SrZn6Ag4
_chemical_formula_sum 'Sr2 Zn12 Ag8'
_symmetry_space_group_name_H-M 'I -4 2 m'
_symmetry_Int_Tables_number 121
_symmetry_space_group_name_Hall 'I -4 2'
_cell_length_a 6.933
_cell_length_b 6.933
_cell_length_c 9.675
_cell_angle_alpha 90.00
_cell_angle_beta 90.00
_cell_angle_gamma 90.00
loop_
_atom_site_label
_atom_site_fract_x
_atom_site_fract_y
_atom_site_fract_z
Sr1 0.000 0.000 0.000
Zn1 0.000 0.500 0.000
Zn2 0.196 0.196 0.690
Ag1 0.167 0.167 0.411

# GGA-PBE Sr2Zn4Ag5, relaxed
# Energy above the lowest structure with this stoichiometry: 59 meV/atom
# E_form: -1.52 eV/f.u.
data_Sr2Zn4Ag5
_chemical_formula_sum 'Sr4 Zn8 Ag10'
_symmetry_space_group_name_H-M 'C 1 2/m 1'
_symmetry_Int_Tables_number 12
_cell_length_a 12.823
_cell_length_b 5.800
_cell_length_c 8.623
_cell_angle_alpha 90.00
_cell_angle_beta 128.88
_cell_angle_gamma 90.00
loop_
_symmetry_equiv_pos_as_xyz
'x,y,z'
'-x,-y,-z'
'-x,y,-z'
'x,-y,z'
'x+1/2,y+1/2,z'
'-x+1/2,-y+1/2,-z'
'-x+1/2,y+1/2,-z'
'x+1/2,-y+1/2,z'
loop_
_atom_site_label
_atom_site_fract_x
_atom_site_fract_y
_atom_site_fract_z
Sr1 0.215 0.000 0.275
Zn1 0.131 0.000 0.576
Zn2 0.231 0.500 0.055
Ag1 0.000 0.500 0.000
Ag2 0.034 0.255 0.742

Look up the E_form of the second one.
-1.52 eV/f.u.